# 1
{"formula": "ZnHgSeO", "functional": "PBE", "state": "relaxed", "lattice_angstrom": [[6.046, 0.000, 0.000], [0.000, 3.554, 0.000], [0.000, 0.000, 14.048]], "species": ["O", "O", "O", "O", "Se", "Se", "Se", "Se", "Zn", "Zn", "Zn", "Zn", "Hg", "Hg", "Hg", "Hg"], "fractional_positions": [[0.774, 0.750, 0.834], [0.226, 0.250, 0.166], [0.274, 0.750, 0.666], [0.726, 0.250, 0.334], [0.758, 0.750, 0.052], [0.258, 0.750, 0.448], [0.242, 0.250, 0.948], [0.742, 0.250, 0.552], [0.148, 0.750, 0.102], [0.352, 0.250, 0.602], [0.648, 0.750, 0.398], [0.852, 0.250, 0.898], [0.628, 0.250, 0.182], [0.128, 0.250, 0.318], [0.372, 0.750, 0.818], [0.872, 0.750, 0.682]], "vol_a3_per_atom": 18.87, "energy_ev_per_atom": -2.9506}

# 2
{"formula": "ZnHgSeO", "functional": "PBE", "state": "relaxed", "lattice_angstrom": [[7.017, -1.738, 0.000], [7.017, 1.738, 0.000], [0.000, 0.000, 6.208]], "species": ["Zn", "Zn", "O", "O", "Hg", "Hg", "Se", "Se"], "fractional_positions": [[0.341, 0.341, 0.938], [0.659, 0.659, 0.438], [0.911, 0.911, 0.013], [0.089, 0.089, 0.513], [0.062, 0.062, 0.894], [0.938, 0.938, 0.394], [0.694, 0.694, 0.047], [0.306, 0.306, 0.547]], "vol_a3_per_atom": 18.93, "energy_ev_per_atom": -2.9580}

# 3
{"formula": "SiHg2O3", "functional": "PBE", "state": "relaxed", "lattice_angstrom": [[-4.046, -6.527, -8.349], [-0.785, -4.385, 3.809], [-2.712, 0.969, 0.557]], "species": ["Hg", "Hg", "Hg", "Hg", "O", "O", "O", "O", "O", "O", "Si", "Si"], "fractional_positions": [[0.547, 0.798, 0.966], [0.953, 0.798, 0.966], [0.047, 0.202, 0.966], [0.453, 0.202, 0.966], [0.627, 0.484, 0.803], [0.250, 0.808, 0.327], [0.873, 0.484, 0.803], [0.373, 0.516, 0.803], [0.127, 0.516, 0.803], [0.750, 0.192, 0.327], [0.750, 0.344, 0.828], [0.250, 0.656, 0.828]], "vol_a3_per_atom": 16.25, "energy_ev_per_atom": -4.8090}

# 4
{"formula": "SiHgO3", "functional": "PBE", "state": "relaxed", "lattice_angstrom": [[-4.278, 3.740, 4.604], [-1.447, -6.007, 3.913], [4.880, 1.307, 1.558]], "species": ["Hg", "Hg", "Hg", "Hg", "O", "O", "O", "O", "O", "O", "O", "O", "O", "O", "O", "O", "Si", "Si", "Si", "Si"], "fractional_positions": [[0.101, 0.899, 0.250], [0.295, 0.705, 0.750], [0.705, 0.295, 0.250], [0.899, 0.101, 0.750], [0.776, 0.964, 0.344], [0.845, 0.415, 0.637], [0.585, 0.155, 0.863], [0.415, 0.845, 0.137], [0.371, 0.308, 0.490], [0.155, 0.585, 0.363], [0.036, 0.224, 0.156], [0.964, 0.776, 0.844], [0.224, 0.036, 0.656], [0.308, 0.371, 0.990], [0.692, 0.629, 0.010], [0.629, 0.692, 0.510], [0.371, 0.213, 0.746], [0.787, 0.629, 0.754], [0.629, 0.787, 0.254], [0.213, 0.371, 0.246]], "vol_a3_per_atom": 13.40, "energy_ev_per_atom": -5.8489}

# 5
{"formula": "SiHgO3", "functional": "PBE", "state": "relaxed", "lattice_angstrom": [[3.376, 0.000, 0.000], [0.000, 3.376, 0.000], [0.000, 0.000, 4.762]], "species": ["Hg", "Si", "O", "O", "O"], "fractional_positions": [[0.000, 0.000, 0.008], [0.500, 0.500, 0.515], [0.500, 0.000, 0.608], [0.500, 0.500, 0.161], [0.000, 0.500, 0.608]], "vol_a3_per_atom": 10.86, "energy_ev_per_atom": -5.5650}

# 6
{"formula": "SiHgO3", "functional": "PBE", "state": "relaxed", "lattice_angstrom": [[-2.459, 4.260, 0.000], [2.459, 4.260, 0.000], [0.000, 2.840, -5.309]], "species": ["O", "O", "O", "O", "O", "O", "Hg", "Hg", "Si", "Si"], "fractional_positions": [[0.962, 0.558, 0.313], [0.442, 0.832, 0.687], [0.038, 0.442, 0.687], [0.168, 0.962, 0.313], [0.832, 0.038, 0.687], [0.558, 0.168, 0.313], [0.368, 0.368, 0.895], [0.632, 0.632, 0.105], [0.164, 0.164, 0.508], [0.836, 0.836, 0.492]], "vol_a3_per_atom": 11.12, "energy_ev_per_atom": -5.6963}

# 7
{"formula": "SiHg2O4", "functional": "PBE", "state": "relaxed", "lattice_angstrom": [[3.068, -5.934, 0.000], [3.068, 5.934, 0.000], [-2.134, 0.000, 4.768]], "species": ["O", "O", "O", "O", "O", "O", "O", "O", "Si", "Si", "Hg", "Hg", "Hg", "Hg"], "fractional_positions": [[0.036, 0.371, 0.248], [0.371, 0.036, 0.748], [0.795, 0.883, 0.863], [0.629, 0.964, 0.252], [0.117, 0.205, 0.637], [0.883, 0.795, 0.363], [0.205, 0.117, 0.137], [0.964, 0.629, 0.752], [0.061, 0.939, 0.750], [0.939, 0.061, 0.250], [0.734, 0.437, 0.047], [0.563, 0.266, 0.453], [0.437, 0.734, 0.547], [0.266, 0.563, 0.953]], "vol_a3_per_atom": 12.40, "energy_ev_per_atom": -4.7867}

# 8
{"formula": "Sm2Hg2O5", "functional": "PBE", "state": "relaxed", "lattice_angstrom": [[-8.297, -2.697, -2.350], [-0.371, -2.005, 3.609], [-1.599, 3.411, 1.730]], "species": ["O", "O", "O", "O", "O", "Hg", "Hg", "Sm", "Sm"], "fractional_positions": [[0.155, 0.500, 0.000], [0.845, 0.500, 0.000], [0.500, 0.500, 0.500], [0.845, 0.000, 0.500], [0.155, 0.000, 0.500], [0.500, 0.000, 0.000], [0.000, 0.000, 0.000], [0.251, 0.500, 0.500], [0.749, 0.500, 0.500]], "total_magnetization_mub_per_cell": 1.2, "vol_a3_per_atom": 17.25, "energy_ev_per_atom": -5.4923}